This record from Alexandria describes crystalline NaAc2MnO5 at its relaxed geometry. The functional is PBE with a Hubbard U.

a b c (Å): 7.1373 7.1373 5.9104
angles (deg): 90.00 90.00 90.00
Space group P4/mbm (No. 127)
Asymmetric unit:
Na 0.0000 0.0000 0.0000 [2 per cell]
Ac 0.1816 0.3184 0.5000 [4 per cell]
Mn 0.0000 0.5000 0.0000 [2 per cell]
O 0.0000 0.0000 0.5000 [2 per cell]
O 0.1302 0.6302 0.2345 [8 per cell]

Calculated values
DFT total energy   -7.105 eV per atom
Spin magnetization   0.45 μB/atom